Below is a relaxed structure of Ti2TcNi, with properties calculated at the PBE level.

Values from the calculation:
Crystal system: cubic
Electronic total energy: -8.46 eV per atom
DOS(E_F): 4.383 states/eV/f.u.
Formation enthalpy at 0 K: -0.479 eV per atom
SG: No. 225

a b c (Å): 4.3255 4.3255 4.3255
angles (deg): 60.00 60.00 60.00
Atoms (fractional coordinates):
Ti  0.2500  0.2500  0.2500
Ti  0.7500  0.7500  0.7500
Tc  0.0000  0.0000  0.0000
Ni  0.5000  0.5000  0.5000